No. 1
Entry from Alexandria: a geometry-optimized TcP2SO structure (PBE-GGA).

a = 4.620 Å, b = 4.620 Å, c = 4.382 Å
α = 90.00°, β = 90.00°, γ = 90.00°
Fractional positions:
Tc1 0.000 0.000 0.000
O1 0.500 0.500 0.500
P1 0.000 0.500 0.000
P2 0.500 0.000 0.000
S1 0.000 0.000 0.500

## Properties
- polymorph energy (0 for the lowest one) (meV/atom) = 767.7
- space-group type = P4/mmm

***

No. 2
Entry from Alexandria: a geometry-optimized LiMg2Cu structure (PBE-GGA).

a = 7.638 Å, b = 7.638 Å, c = 7.638 Å
α = 155.91°, β = 36.27°, γ = 153.29°
Fractional positions:
Cu1 0.500 0.000 0.500
Li1 0.000 0.000 0.000
Mg1 0.323 0.000 0.323
Mg2 0.677 0.000 0.677

## Properties
- formation energy (eV per atom) = 0.178
- space-group type = Immm

***

No. 3
Entry from Alexandria: a geometry-optimized TiReOsF2 structure (PBE-GGA).

a = 3.940 Å, b = 5.174 Å, c = 3.940 Å
α = 90.00°, β = 90.00°, γ = 90.00°
Fractional positions:
F1 0.500 0.000 0.000
F2 0.000 0.000 0.500
Re1 0.000 0.500 0.000
Os1 0.000 0.000 0.000
Ti1 0.500 0.500 0.500

## Properties
- electronic total energy (eV per atom) = -6.77
- space-group type = P4/mmm

***

No. 4
Entry from Alexandria: a geometry-optimized Nd2SmTm3Sb6 structure (PBE-GGA).

a = 4.426 Å, b = 8.838 Å, c = 9.883 Å
α = 102.75°, β = 102.94°, γ = 90.00°
Fractional positions:
Sb1 0.336 0.410 0.672
Sb2 0.332 0.924 0.663
Sb3 0.664 0.590 0.328
Sb4 0.668 0.076 0.337
Sb5 0.003 0.746 0.006
Sb6 0.997 0.254 0.994
Nd1 0.834 0.667 0.667
Nd2 0.166 0.333 0.333
Tm1 0.500 0.500 0.000
Tm2 0.833 0.167 0.666
Tm3 0.167 0.833 0.334
Sm1 0.500 0.000 0.000

## Properties
- electronic total energy (eV per atom) = -5.49
- space-group type = C2/m

***

No. 5
Entry from Alexandria: a geometry-optimized BC2 structure (PBE-GGA).

a = 2.554 Å, b = 3.925 Å, c = 7.701 Å
α = 89.17°, β = 90.00°, γ = 90.00°
Fractional positions:
C1 0.000 0.035 0.998
C2 0.000 0.995 0.669
C3 0.000 0.264 0.161
C4 0.000 0.235 0.834
C5 0.000 0.220 0.506
C6 0.500 0.489 0.165
C7 0.500 0.724 0.324
C8 0.500 0.776 0.680
B1 0.500 0.493 0.504
B2 0.000 0.009 0.333
B3 0.500 0.470 0.807
B4 0.500 0.791 0.017

## Properties
- formation energy (eV per atom) = 0.322
- polymorph energy (0 for the lowest one) (meV/atom) = 82.1
- space-group type = Pm

***

No. 6
Entry from Alexandria: a geometry-optimized EuHo2Tm structure (PBE-GGA).

a = 5.700 Å, b = 5.700 Å, c = 5.700 Å
α = 60.00°, β = 60.00°, γ = 60.00°
Fractional positions:
Ho1 0.750 0.750 0.750
Ho2 0.250 0.250 0.250
Tm1 0.000 0.000 0.000
Eu1 0.500 0.500 0.500

## Properties
- formation energy (eV per atom) = 0.169
- polymorph energy (0 for the lowest one) (meV/atom) = 105.2
- space-group type = Fm-3m

***

No. 7
Entry from Alexandria: a geometry-optimized Zr4P2N structure (PBE-GGA).

a = 3.465 Å, b = 6.246 Å, c = 6.888 Å
α = 119.06°, β = 104.57°, γ = 90.00°
Fractional positions:
N1 0.000 0.000 0.000
Zr1 0.386 0.740 0.772
Zr2 0.893 0.203 0.787
Zr3 0.107 0.797 0.213
Zr4 0.614 0.260 0.228
P1 0.734 0.736 0.468
P2 0.266 0.264 0.532

## Properties
- electronic total energy (eV per atom) = -8.78
- space-group type = C2/m

***

No. 8
Entry from Alexandria: a geometry-optimized AcGe2PtRh2 structure (PBE-GGA).

a = 4.712 Å, b = 4.712 Å, c = 5.796 Å
α = 90.00°, β = 90.00°, γ = 90.00°
Fractional positions:
Ac1 0.000 0.000 0.500
Ge1 0.000 0.500 0.000
Ge2 0.500 0.000 0.000
Rh1 0.500 0.500 0.753
Rh2 0.500 0.500 0.247
Pt1 0.000 0.000 0.000

## Properties
- formation energy (eV per atom) = -0.285
- space-group type = P4/mmm